(1)
CoSbSe2N | PBE | optimized geometry

Cell: 5.353 5.353 3.877 Å, 90.00 90.00 90.00°
Each line ends with the local moment (μB).
Fractional positions:
Sb1 0.000 0.000 0.000  -0.02
Co1 0.500 0.500 0.500  2.35
Se1 0.000 0.500 0.000  0.17
Se2 0.500 0.000 0.000  0.17
N1 0.000 0.000 0.500  0.19

## Properties
Its formation energy from raw total energies is 1208 meV/atom. The calculation puts the theoretical density at 5.3 g/cm3. Its excess energy over the best structure of this formula in the dataset is 0.925 eV/atom.

(2)
Sr2CoSbN | PBE | optimized geometry

Cell: 5.725 5.725 3.538 Å, 90.00 90.00 90.00°
Each line ends with the local moment (μB).
Fractional positions:
Sb1 0.500 0.500 0.500  0.03
N1 0.000 0.000 0.000  0.03
Co1 0.000 0.000 0.500  0.54
Sr1 0.000 0.500 0.000  0.00
Sr2 0.500 0.000 0.000  0.00

## Properties
Its formation energy from raw total energies is -607 meV/atom. The calculation puts the theoretical density at 5.3 g/cm3.

(3)
CoSbTe2N | PBE | optimized geometry

Cell: 4.632 4.632 4.696 Å, 90.00 90.00 90.00°
Fractional positions:
Sb1 0.000 0.000 0.500
Te1 0.000 0.500 0.000
Te2 0.500 0.000 0.000
Co1 0.500 0.500 0.500
N1 0.000 0.000 0.000

## Properties
Its formation energy from raw total energies is 1033 meV/atom. The calculation puts the theoretical density at 7.4 g/cm3. Its excess energy over the best structure of this formula in the dataset is 0.712 eV/atom.

(4)
CoSbTe2N | PBE | optimized geometry

Cell: 5.813 5.813 3.866 Å, 90.00 90.00 90.00°
Each line ends with the local moment (μB).
Fractional positions:
Sb1 0.000 0.000 0.000  0.00
Te1 0.000 0.500 0.000  0.03
Te2 0.500 0.000 0.000  0.03
Co1 0.500 0.500 0.500  2.23
N1 0.000 0.000 0.500  -0.01

## Properties
Its formation energy from raw total energies is 1273 meV/atom. The calculation puts the theoretical density at 5.7 g/cm3. Its excess energy over the best structure of this formula in the dataset is 0.953 eV/atom.